Density functional theory data (PBE-GGA) for crystalline BeTeBr at its relaxed geometry.

Properties
Offset from the most stable computed form, meV/atom: 457
Density of states at the Fermi level, states/eV/cell: 1.7
Crystal system: trigonal
Space-group type: P3m1

Cell lengths 3.9516, 3.9516, 5.3223 Å; angles 90.00, 90.00, 120.00 degrees
Fractional coordinates of all 3 atoms:
Te 0.3333 0.6667 0.7788
Be 0.0000 0.0000 0.9383
Br 0.6667 0.3333 0.2829